# MgZnTe2

A geometry-optimized MgZnTe2 structure (PBE, the Alexandria database).

Cell: 6.452 8.050 8.050 Å, 68.03 113.61 66.39°
Fractional positions:
Zn  0.750  0.000  0.500
Zn  0.250  0.000  0.500
Te  0.265  0.112  0.142
Te  0.235  0.642  0.612
Te  0.735  0.888  0.858
Te  0.765  0.358  0.388
Mg  0.750  0.500  0.000
Mg  0.250  0.500  0.000

**ΔE_f (raw)**: -2.3 eV per formula unit